Record 1
PmHo2Hg8: optimized geometry, GGA-PBE.

Values from the calculation:
excess energy over the best structure of this formula in the dataset: 13 meV per atom
N(E_F): 5.90 states/eV/cell
SG: Immm, No. 71

Lattice parameters (Å, degrees): 5.088 7.562 8.528 116.35 107.36 90.00
Atoms (fractional coordinates):
Hg (0.844, 0.844, 0.688)
Hg (0.351, 0.560, 0.701)
Ho (0.805, 0.305, 0.611)
Pm (0.500, 0.000, 0.000)
Hg (0.000, 0.296, 0.000)
Hg (0.649, 0.858, 0.298)
Hg (0.000, 0.704, 0.000)
Hg (0.156, 0.156, 0.312)
Hg (0.351, 0.142, 0.702)
Ho (0.195, 0.695, 0.389)
Hg (0.649, 0.440, 0.299)

Record 2
Li2Ac2Hg: optimized geometry, GGA-PBE.

Values from the calculation:
excess energy over the best structure of this formula in the dataset: 0 meV per atom
N(E_F): 9.56 states/eV/cell
SG: C2/m, No. 12

Lattice parameters (Å, degrees): 5.211 6.208 10.531 84.86 75.68 65.19
Atoms (fractional coordinates):
Ac (0.101, 0.695, 0.102)
Li (0.605, 0.908, 0.881)
Hg (0.378, 0.889, 0.355)
Li (0.903, 0.744, 0.449)
Li (0.395, 0.092, 0.119)
Hg (0.622, 0.111, 0.645)
Ac (0.311, 0.697, 0.680)
Ac (0.689, 0.303, 0.320)
Ac (0.899, 0.305, 0.898)
Li (0.097, 0.256, 0.551)

Record 3
DyBe3Au6: optimized geometry, GGA-PBE.

Values from the calculation:
N(E_F): 4.05 states/eV/cell
SG: R3, No. 146

Lattice parameters (Å, degrees): 5.666 5.666 6.956 90.00 114.03 120.00
Atoms (fractional coordinates):
Be (0.646, 0.323, 0.970)
Au (0.761, 0.082, 0.246)
Au (0.567, 0.485, 0.246)
Be (0.252, 0.126, 0.378)
Dy (0.937, 0.969, 0.906)
Be (0.317, 0.658, 0.975)
Au (0.288, 0.397, 0.678)
Au (0.787, 0.390, 0.678)
Au (0.164, 0.679, 0.246)
Au (0.281, 0.891, 0.678)

Record 4
MnMoW: optimized geometry, GGA-PBE.

Values from the calculation:
excess energy over the best structure of this formula in the dataset: 544 meV per atom
N(E_F): 3.61 states/eV/cell
SG: F-43m, No. 216

Lattice parameters (Å, degrees): 4.100 4.100 4.100 60.00 60.00 60.00
Atoms (fractional coordinates):
Mo (0.000, 0.000, 0.000)
Mn (0.750, 0.750, 0.750)
W (0.500, 0.500, 0.500)

Respective DFT formation energy values: -0.306 -0.152 -0.290 0.633 eV per atom.